Entry 1:
Material: ReTc2MoN
Method: DFT, PBE-GGA
State: relaxed

Results
- E: -52.2 eV per cell
- Density of states at the Fermi level: 0.96 states/eV/atom
- Formation energy (no corrections): 0.03 eV/atom

Lattice parameters (Å, degrees): 4.0337 4.0337 4.1004 90.00 90.00 90.00
Closest atoms and distances in Å follow each position.
Atoms (fractional coordinates):
Re (0.5000, 0.5000, 0.5000)  4 Mo 2.85, 8 Tc 2.88
Tc (0.5000, 0.0000, 0.0000)  2 N 2.02
Tc (0.0000, 0.5000, 0.0000)  2 N 2.02
N (0.0000, 0.0000, 0.0000)  4 Tc 2.02, 2 Mo 2.05
Mo (0.0000, 0.0000, 0.5000)  2 N 2.05

Entry 2:
Material: Be3GaSn
Method: DFT, PBE-GGA
State: relaxed

Results
- E: -14.2 eV per cell
- Energy above the lowest structure with this stoichiometry: 0 meV/atom
- Density of states at the Fermi level: 0.43 states/eV/atom

Lattice parameters (Å, degrees): 4.3461 4.3461 4.3461 90.00 90.00 90.00
Closest atoms and distances in Å follow each position.
Atoms (fractional coordinates):
Be (0.0000, 0.5000, 0.0000)  2 Ga 2.17
Be (0.5000, 0.0000, 0.0000)  2 Ga 2.17
Be (0.0000, 0.0000, 0.5000)  2 Ga 2.17
Ga (0.0000, 0.0000, 0.0000)  6 Be 2.17
Sn (0.5000, 0.5000, 0.5000)  12 Be 3.07